No. 1
CuGe2Bi2 | PBE | relaxed

Computed properties:
The calculated density is 8.7 g/cm3. The calculation puts the density of states at the Fermi level at 2.1 states/eV/f.u. As for the energy above the most stable polymorph in this dataset: 107 meV per atom. The total energy comes out at -3.92 eV/atom.

Unit cell a=3.6417 b=3.6417 c=17.9758 alpha=90.00 beta=90.00 gamma=90.00
Closest atoms and distances in Å follow each position.
Atoms (fractional coordinates):
Cu: 0.0000 0.0000 0.0000  8 Bi 3.06
Cu: 0.5000 0.5000 0.5000  8 Bi 3.06
Ge: 0.0000 0.5000 0.2500  4 Ge 2.58
Ge: 0.0000 0.5000 0.7500  4 Ge 2.58
Ge: 0.5000 0.0000 0.2500  4 Ge 2.58
Ge: 0.5000 0.0000 0.7500  4 Ge 2.58
Bi: 0.0000 0.0000 0.4082  4 Cu 3.06, 1 Bi 3.30, 4 Ge 3.38
Bi: 0.0000 0.0000 0.5918  4 Cu 3.06, 1 Bi 3.30, 4 Ge 3.38
Bi: 0.5000 0.5000 0.0918  4 Cu 3.06, 1 Bi 3.30, 4 Ge 3.38
Bi: 0.5000 0.5000 0.9082  4 Cu 3.06, 1 Bi 3.30, 4 Ge 3.38

***

No. 2
RbAuBrF2 | PBE | relaxed

Computed properties:
The calculated density is 5.8 g/cm3. The calculation puts the density of states at the Fermi level at 1.0 states/eV/f.u. The raw formation energy is -1.2983 eV/atom. The total energy comes out at -3.23 eV/atom.

Unit cell a=4.6563 b=4.6563 c=5.2441 alpha=90.00 beta=90.00 gamma=90.00
Closest atoms and distances in Å follow each position.
Atoms (fractional coordinates):
Rb: 0.0000 0.0000 0.0000  4 Br 3.29, 8 F 3.51
Au: 0.5000 0.5000 0.5000  4 F 2.33
Br: 0.5000 0.5000 0.0000  2 Au 2.62
F: 0.0000 0.5000 0.5000  2 Au 2.33
F: 0.5000 0.0000 0.5000  2 Au 2.33

***

No. 3
Th4Hg2Ir | PBE | relaxed

Computed properties:
The calculated density is 12.1 g/cm3. The calculation puts the density of states at the Fermi level at 7.8 states/eV/f.u. The total energy comes out at -5.86 eV/atom.

Unit cell a=6.5460 b=3.7317 c=9.1099 alpha=90.00 beta=110.40 gamma=90.00
Closest atoms and distances in Å follow each position.
Atoms (fractional coordinates):
Th: 0.1023 0.0000 0.2507  1 Ir 2.80
Th: 0.2916 0.5000 0.6410  2 Ir 2.87
Th: 0.7084 0.5000 0.3590  2 Ir 2.87
Th: 0.8977 0.0000 0.7493  1 Ir 2.80
Hg: 0.2782 0.5000 0.0129  1 Hg 2.99, 2 Th 3.35
Hg: 0.7218 0.5000 0.9871  1 Hg 2.99, 2 Th 3.35
Ir: 0.5000 0.0000 0.5000  6 Th 2.80-2.87

***

No. 4
SiNiPt2 | PBE | relaxed

Computed properties:
The calculated density is 14.4 g/cm3. The calculation puts the density of states at the Fermi level at 2.0 states/eV/f.u. The raw formation energy is -0.4286 eV/atom. The total energy comes out at -6.25 eV/atom.

Unit cell a=2.8074 b=4.3368 c=9.0513 alpha=90.00 beta=90.00 gamma=90.00
Closest atoms and distances in Å follow each position.
Atoms (fractional coordinates):
Si: 0.0000 0.0000 0.0000  2 Ni 2.29, 2 Pt 2.43
Si: 0.5000 0.5000 0.5000  2 Ni 2.29, 2 Pt 2.43
Ni: 0.0000 0.5000 0.7002  2 Si 2.29
Ni: 0.5000 0.0000 0.2002  2 Si 2.29
Pt: 0.0000 0.0000 0.4912  4 Si 2.58, 4 Pt 2.81-2.89, 2 Ni 2.88
Pt: 0.0000 0.5000 0.2802  2 Si 2.43, 4 Ni 2.68
Pt: 0.5000 0.0000 0.7802  2 Si 2.43, 4 Ni 2.68
Pt: 0.5000 0.5000 0.9912  4 Si 2.58, 4 Pt 2.81-2.89, 2 Ni 2.88

***

No. 5
BaTaCd2 | PBE | relaxed

Computed properties:
The calculated density is 8.9 g/cm3. The calculation puts the density of states at the Fermi level at 2.9 states/eV/f.u. As for the energy above the most stable polymorph in this dataset: 151 meV per atom. The total energy comes out at -3.43 eV/atom.

Unit cell a=3.2257 b=3.2257 c=9.7398 alpha=90.00 beta=90.00 gamma=90.00
Closest atoms and distances in Å follow each position.
Atoms (fractional coordinates):
Ba: 0.0000 0.0000 0.0000  4 Ba 3.23
Ta: 0.5000 0.5000 0.7065  4 Cd 2.99, 4 Ta 3.23
Cd: 0.0000 0.0000 0.5074  4 Ta 2.99, 8 Cd 3.10-3.23
Cd: 0.5000 0.5000 0.2916  8 Cd 3.10-3.23

***

No. 6
La2YThBi5 | PBE | relaxed

Computed properties:
The calculated density is 6.9 g/cm3. The calculation puts the density of states at the Fermi level at 7.9 states/eV/f.u. The total energy comes out at -4.89 eV/atom.

Unit cell a=5.7733 b=5.7733 c=11.9147 alpha=90.00 beta=90.00 gamma=90.00
Closest atoms and distances in Å follow each position.
Atoms (fractional coordinates):
La: 0.0000 0.0000 0.2140  1 Bi 3.41
La: 0.0000 0.0000 0.7860  1 Bi 3.41
Y: 0.5000 0.5000 0.5000  2 Bi 2.89
Th: 0.5000 0.5000 0.0000  6 Bi 2.89-3.07
Bi: 0.0000 0.0000 0.5000  2 La 3.41
Bi: 0.0000 0.5000 0.0000  2 Th 2.89
Bi: 0.5000 0.0000 0.0000  2 Th 2.89
Bi: 0.5000 0.5000 0.2574  1 Y 2.89, 1 Th 3.07
Bi: 0.5000 0.5000 0.7426  1 Y 2.89, 1 Th 3.07

***

No. 7
Sc2TcMo | PBE | relaxed

Computed properties:
The calculated density is 6.6 g/cm3. The calculation puts the density of states at the Fermi level at 4.5 states/eV/f.u. As for the energy above the most stable polymorph in this dataset: 301 meV per atom. The total energy comes out at -8.29 eV/atom.

Unit cell a=3.9224 b=3.9224 c=9.2685 alpha=90.00 beta=90.00 gamma=90.00
Closest atoms and distances in Å follow each position.
Atoms (fractional coordinates):
Sc: 0.0000 0.5000 0.2500  4 Sc 2.77, 4 Mo 3.04, 4 Tc 3.04
Sc: 0.0000 0.5000 0.7500  4 Sc 2.77, 4 Mo 3.04, 4 Tc 3.04
Sc: 0.5000 0.0000 0.2500  4 Sc 2.77, 4 Mo 3.04, 4 Tc 3.04
Sc: 0.5000 0.0000 0.7500  4 Sc 2.77, 4 Mo 3.04, 4 Tc 3.04
Tc: 0.0000 0.0000 0.0000  4 Mo 2.77, 8 Sc 3.04
Tc: 0.5000 0.5000 0.5000  4 Mo 2.77, 8 Sc 3.04
Mo: 0.0000 0.0000 0.5000  4 Tc 2.77, 8 Sc 3.04
Mo: 0.5000 0.5000 0.0000  4 Tc 2.77, 8 Sc 3.04

***

No. 8
EuAgHgPb | PBE | relaxed

Computed properties:
The calculated density is 10.6 g/cm3. The calculation puts the density of states at the Fermi level at 8.7 states/eV/f.u. The total energy comes out at -4.60 eV/atom.

Unit cell a=7.4676 b=7.4676 c=7.4676 alpha=90.00 beta=90.00 gamma=90.00
Closest atoms and distances in Å follow each position.
Atoms (fractional coordinates):
Eu: 0.0000 0.0000 0.0000  4 Hg 3.23, 4 Ag 3.23
Eu: 0.0000 0.5000 0.5000  4 Hg 3.23, 4 Ag 3.23
Eu: 0.5000 0.0000 0.5000  4 Hg 3.23, 4 Ag 3.23
Eu: 0.5000 0.5000 0.0000  4 Hg 3.23, 4 Ag 3.23
Ag: 0.2500 0.2500 0.2500  4 Pb 3.23, 4 Eu 3.23
Ag: 0.2500 0.7500 0.7500  4 Pb 3.23, 4 Eu 3.23
Ag: 0.7500 0.2500 0.7500  4 Pb 3.23, 4 Eu 3.23
Ag: 0.7500 0.7500 0.2500  4 Pb 3.23, 4 Eu 3.23
Hg: 0.2500 0.2500 0.7500  4 Eu 3.23, 4 Pb 3.23
Hg: 0.2500 0.7500 0.2500  4 Eu 3.23, 4 Pb 3.23
Hg: 0.7500 0.2500 0.2500  4 Eu 3.23, 4 Pb 3.23
Hg: 0.7500 0.7500 0.7500  4 Eu 3.23, 4 Pb 3.23
Pb: 0.0000 0.0000 0.5000  4 Hg 3.23, 4 Ag 3.23
Pb: 0.0000 0.5000 0.0000  4 Hg 3.23, 4 Ag 3.23
Pb: 0.5000 0.0000 0.0000  4 Hg 3.23, 4 Ag 3.23
Pb: 0.5000 0.5000 0.5000  4 Hg 3.23, 4 Ag 3.23

***

> Which of these has the lowest calculated density?

RbAuBrF2

***

Repeat the third record exactly.
Th4Hg2Ir | PBE | relaxed

Computed properties:
The calculated density is 12.1 g/cm3. The calculation puts the density of states at the Fermi level at 7.8 states/eV/f.u. The total energy comes out at -5.86 eV/atom.

Unit cell a=6.5460 b=3.7317 c=9.1099 alpha=90.00 beta=110.40 gamma=90.00
Closest atoms and distances in Å follow each position.
Atoms (fractional coordinates):
Th: 0.1023 0.0000 0.2507  1 Ir 2.80
Th: 0.2916 0.5000 0.6410  2 Ir 2.87
Th: 0.7084 0.5000 0.3590  2 Ir 2.87
Th: 0.8977 0.0000 0.7493  1 Ir 2.80
Hg: 0.2782 0.5000 0.0129  1 Hg 2.99, 2 Th 3.35
Hg: 0.7218 0.5000 0.9871  1 Hg 2.99, 2 Th 3.35
Ir: 0.5000 0.0000 0.5000  6 Th 2.80-2.87